# 1
The following is a PBE calculation of a relaxed structure of PrHo12Tm7, from Alexandria.

Cell: 11.8884 11.8884 15.7777 Å, 90.00 90.00 120.00°
Space group R-3 (No. 148, hexagonal axes)
Inequivalent atoms, fractional coordinates:
Pr  0.0000  0.0000  0.0000 (multiplicity 3)
Ho  0.0213  0.5708  0.2180 (multiplicity 18)
Ho  0.0518  0.8622  0.2940 (multiplicity 18)
Tm  0.0000  0.0000  0.5000 (multiplicity 3)
Tm  0.0466  0.4604  0.5837 (multiplicity 18)

Computed properties:
formation enthalpy at 0 K = 0.24 eV per atom
crystal system = trigonal
offset from the most stable computed form = 0.0 meV per atom
electronic total energy = -4.31 eV/atom

***

# 2
The following is a PBE calculation of a relaxed structure of Pr5Ho2Tm4, from Alexandria.

Cell: 3.531 9.132 23.612 Å, 90.00 90.00 90.00°
Space group Immm (No. 71)
Inequivalent atoms, fractional coordinates:
Pr  0.000  0.000  0.000 (multiplicity 2)
Pr  0.000  0.298  0.354 (multiplicity 8)
Ho  0.000  0.500  0.230 (multiplicity 4)
Tm  0.000  0.183  0.500 (multiplicity 4)
Tm  0.000  0.500  0.096 (multiplicity 4)

Computed properties:
formation enthalpy at 0 K = 0.19 eV per atom
crystal system = orthorhombic
offset from the most stable computed form = 107.9 meV per atom
electronic total energy = -4.44 eV/atom

***

# 3
The following is a PBE calculation of a relaxed structure of Pr4Ho8Tm, from Alexandria.

Cell: 11.0491 11.0491 13.4958 Å, 90.00 90.00 120.00°
Space group R-3m (No. 166, hexagonal axes)
Inequivalent atoms, fractional coordinates:
Pr  0.0000  0.0000  0.0000 (multiplicity 3)
Pr  0.0000  0.5000  0.0000 (multiplicity 9)
Ho  0.0000  0.0000  0.2404 (multiplicity 6)
Ho  0.0124  0.5062  0.7462 (multiplicity 18)
Tm  0.0000  0.0000  0.5000 (multiplicity 3)

Computed properties:
formation enthalpy at 0 K = 0.52 eV per atom
crystal system = trigonal
electronic total energy = -4.11 eV/atom

***

# 4
The following is a PBE calculation of a relaxed structure of Pr2Ho7Tm4, from Alexandria.

Cell: 6.0457 6.0457 13.2729 Å, 90.00 90.00 120.00°
Space group P-31m (No. 162)
Inequivalent atoms, fractional coordinates:
Pr  0.3333  0.6667  0.0000 (multiplicity 2)
Ho  0.0000  0.0000  0.0000 (multiplicity 1)
Ho  0.0000  0.3523  0.2185 (multiplicity 6)
Tm  0.0000  0.0000  0.3956 (multiplicity 2)
Tm  0.3333  0.6667  0.5000 (multiplicity 2)

Computed properties:
formation enthalpy at 0 K = 0.20 eV per atom
crystal system = trigonal
electronic total energy = -4.37 eV/atom

***

# 5
The following is a PBE calculation of a relaxed structure of Pr3HoTm, from Alexandria.

Cell: 6.030 18.581 6.038 Å, 90.00 90.00 90.00°
Space group Ama2 (No. 40)
Inequivalent atoms, fractional coordinates:
Pr  0.250  0.057  0.000 (multiplicity 4)
Pr  0.250  0.258  0.020 (multiplicity 4)
Pr  0.250  0.353  0.529 (multiplicity 4)
Ho  0.250  0.453  0.022 (multiplicity 4)
Tm  0.250  0.149  0.500 (multiplicity 4)

Computed properties:
formation enthalpy at 0 K = 0.11 eV per atom
crystal system = orthorhombic
offset from the most stable computed form = 0.0 meV per atom
electronic total energy = -4.56 eV/atom

***

# 6
The following is a PBE calculation of a relaxed structure of Pr5Ho2Tm12, from Alexandria.

Cell: 6.729 8.621 11.782 Å, 105.96 102.71 103.70°
Space group P-1 (No. 2)
Inequivalent atoms, fractional coordinates:
Pr  0.000  0.000  0.000 (multiplicity 1)
Pr  0.174  0.671  0.006 (multiplicity 2)
Pr  0.267  0.106  0.608 (multiplicity 2)
Ho  0.387  0.682  0.535 (multiplicity 2)
Tm  0.064  0.250  0.374 (multiplicity 2)
Tm  0.107  0.462  0.689 (multiplicity 2)
Tm  0.212  0.896  0.301 (multiplicity 2)
Tm  0.310  0.300  0.913 (multiplicity 2)
Tm  0.347  0.469  0.222 (multiplicity 2)
Tm  0.436  0.897  0.844 (multiplicity 2)

Computed properties:
formation enthalpy at 0 K = 0.07 eV per atom
crystal system = triclinic
offset from the most stable computed form = 0.0 meV per atom
electronic total energy = -4.49 eV/atom

***

Calculated volume (Å³ per cell), listed in the same order as above: 1931 761 1427 420 676 608